(1)
A geometry-optimized GdNiH structure, computed with GGA-PBE.

extended XYZ file:
```
6
Lattice="-0.1018 -3.4283 -0.9276 1.8242 -0.5441 -4.9942 4.4326 -2.4390 1.7231" Properties=species:S:1:pos:R:3 pbc="T T T"
H 4.5960 -4.8099 -3.1416
H 1.5590 -1.6014 -1.0571
Ni 1.0788 -3.3456 -1.3627
Ni 5.0762 -3.0657 -2.8360
Gd 3.7475 -3.6924 -0.3740
Gd 2.4075 -2.7189 -3.8247
```

- total DFT energy (no corrections) (eV/atom) = -8.0307

(2)
A geometry-optimized SiTeMo structure, computed with GGA-PBE.

extended XYZ file:
```
3
Lattice="-0.2865 0.4147 3.3201 -4.2125 0.1886 -0.3816 1.0548 -4.3495 -1.0678" Properties=species:S:1:pos:R:3 pbc="T T T"
Te -3.0595 -3.7896 -0.1404
Mo -1.0682 -2.6150 1.5812
Si -1.7057 -1.1584 -0.3545
```

- formation energy (no corrections) (eV per atom) = 0.306

What is the formula in the second record? SiTeMo